Record 1
# PrZrZnPd (PBE-GGA, optimized geometry)
# - mass density (Mg/m³) = 7.67
# - ΔE_f (eV/atom) = -0.30
# - crystal system = cubic
# - total DFT energy (no corrections) (eV/atom) = -5.25
data_PrZrZnPd
_chemical_formula_sum 'Pr4 Zr4 Zn4 Pd4'
_space_group_name_H-M_alt 'F -4 3 m'
_space_group_IT_number 216
_space_group_name_Hall 'F -4 2 3'
_cell_length_a 7.047
_cell_length_b 7.047
_cell_length_c 7.047
_cell_angle_alpha 90.00
_cell_angle_beta 90.00
_cell_angle_gamma 90.00
loop_
_atom_site_label
_atom_site_type_symbol
_atom_site_fract_x
_atom_site_fract_y
_atom_site_fract_z
_atom_site_occupancy
Pr1 Pr 0.000 0.000 0.000 1
Zr1 Zr 0.000 0.000 0.500 1
Zn1 Zn 0.250 0.250 0.750 1
Pd1 Pd 0.250 0.250 0.250 1

=====

Record 2
# CuTc4Pb (PBE-GGA, optimized geometry)
# - mass density (Mg/m³) = 10.97
# - ΔE_f (eV/atom) = 0.66
# - crystal system = cubic
# - total DFT energy (no corrections) (eV/atom) = -7.55
data_CuTc4Pb
_chemical_formula_sum 'Cu4 Tc16 Pb4'
_space_group_name_H-M_alt 'F -4 3 m'
_space_group_IT_number 216
_space_group_name_Hall 'F -4 2 3'
_cell_length_a 7.375
_cell_length_b 7.375
_cell_length_c 7.375
_cell_angle_alpha 90.00
_cell_angle_beta 90.00
_cell_angle_gamma 90.00
loop_
_atom_site_label
_atom_site_type_symbol
_atom_site_fract_x
_atom_site_fract_y
_atom_site_fract_z
_atom_site_occupancy
Cu1 Cu 0.000 0.000 0.000 1
Tc1 Tc 0.126 0.126 0.374 1
Pb1 Pb 0.250 0.250 0.750 1